No. 1
DFT (GGA-PBE) results for a relaxed structure of Eu2SbO.

The space group is P4/mmm (No. 123) and the conventional cell measures 3.329, 3.329 and 7.829 Å, with angles of 90.00, 90.00 and 90.00 degrees. Symmetry generates all atoms from Eu at (0.000, 0.000, 0.194), Sb at (0.500, 0.500, 0.500) and O at (0.500, 0.500, 0.000).

As for the calculated volume: 86.8 Å³/cell. Its energy relative to the elements, uncorrected is -1439 meV per atom. Its total energy is -35.4 eV/f.u.


No. 2
DFT (GGA-PBE) results for a relaxed structure of Eu2SbO.

The space group is R-3m (No. 166, hexagonal axes) and the conventional cell measures 3.7889, 3.7889 and 22.7578 Å, with angles of 90.00, 90.00 and 120.00 degrees. Symmetry generates all atoms from Eu at (0.0000, 0.0000, 0.2273), Sb at (0.0000, 0.0000, 0.0000) and O at (0.0000, 0.0000, 0.5000).

As for the calculated volume: 282.9 Å³/cell. Its energy relative to the elements, uncorrected is -1715 meV per atom. Its total energy is -36.5 eV/f.u.


No. 3
DFT (GGA-PBE) results for a relaxed structure of SmEu2SbO6.

The space group is Fm-3m (No. 225) and the conventional cell measures 8.492, 8.492 and 8.492 Å, with angles of 90.00, 90.00 and 90.00 degrees. Symmetry generates all atoms from Sm at (0.000, 0.000, 0.000), Eu at (0.250, 0.250, 0.250), Sb at (0.000, 0.000, 0.500) and O at (0.000, 0.000, 0.266).

As for the calculated volume: 612.5 Å³/cell. Its energy relative to the elements, uncorrected is -2505 meV per atom. Its total energy is -84.2 eV/f.u.